# 1
Density functional theory data (PBE-GGA) for a geometry-optimized TaHgNO2 structure.

Computed properties:
raw formation energy: -1.10 eV/atom
space-group type: No. 123
total magnetic moment: 0.000 μB per atom
volume: 13.39 A^3/atom

Cell lengths 3.934, 3.934, 4.325 Å; angles 90.00, 90.00, 90.00 degrees
Sites, in units of the cell vectors:
Ta1 0.000 0.000 0.000
Hg1 0.500 0.500 0.500
N1 0.000 0.000 0.500
O1 0.000 0.500 0.000
O2 0.500 0.000 0.000



# 2
Density functional theory data (PBE-GGA) for a geometry-optimized Ho2CuB4O10 structure.

Computed properties:
raw formation energy: -2.61 eV/atom
space-group type: No. 14
total magnetic moment: 0.061 μB per atom
volume: 9.24 A^3/atom

Cell lengths 4.604, 7.289, 9.361 Å; angles 90.00, 90.47, 90.00 degrees
Sites, in units of the cell vectors:
Ho1 0.004 0.104 0.165
Ho2 0.004 0.396 0.665
Ho3 0.996 0.604 0.335
Ho4 0.996 0.896 0.835
Cu1 0.000 0.000 0.500
Cu2 0.000 0.500 0.000
B1 0.460 0.732 0.581
B2 0.460 0.768 0.081
B3 0.472 0.098 0.662
B4 0.472 0.402 0.162
B5 0.528 0.598 0.838
B6 0.528 0.902 0.338
B7 0.540 0.232 0.919
B8 0.540 0.268 0.419
O1 0.215 0.589 0.834
O2 0.215 0.911 0.334
O3 0.229 0.612 0.542
O4 0.229 0.888 0.042
O5 0.323 0.587 0.138
O6 0.323 0.913 0.638
O7 0.343 0.166 0.800
O8 0.343 0.334 0.300
O9 0.359 0.222 0.547
O10 0.359 0.278 0.047
O11 0.641 0.722 0.953
O12 0.641 0.778 0.453
O13 0.657 0.666 0.700
O14 0.657 0.834 0.200
O15 0.677 0.087 0.362
O16 0.677 0.413 0.862
O17 0.771 0.112 0.958
O18 0.771 0.388 0.458
O19 0.785 0.089 0.666
O20 0.785 0.411 0.166



# 3
Density functional theory data (PBE-GGA) for a geometry-optimized Sm8Ni2Ge structure.

Computed properties:
space-group type: No. 8
E: -0.186 hartree per atom
total magnetic moment: 0.000 μB per atom
volume: 28.19 A^3/atom

Cell lengths 7.741, 7.741, 5.885 Å; angles 98.07, 98.07, 114.41 degrees
Sites, in units of the cell vectors:
Sm1 0.000 0.000 0.000
Sm2 0.020 0.284 0.567
Sm3 0.129 0.588 0.179
Sm4 0.284 0.020 0.567
Sm5 0.441 0.699 0.775
Sm6 0.588 0.129 0.179
Sm7 0.699 0.441 0.775
Sm8 0.745 0.745 0.381
Ni1 0.061 0.671 0.693
Ni2 0.671 0.061 0.693
Ge1 0.372 0.372 0.318



# 4
Density functional theory data (PBE-GGA) for a geometry-optimized Sn2Hg5Pb12 structure.

Computed properties:
space-group type: No. 12
E: -0.101 hartree per atom
total magnetic moment: 0.000 μB per atom
volume: 32.18 A^3/atom

Cell lengths 9.652, 9.652, 10.089 Å; angles 99.20, 99.20, 41.31 degrees
Sites, in units of the cell vectors:
Sn1 0.234 0.766 0.000
Sn2 0.766 0.234 0.000
Hg1 0.128 0.128 0.882
Hg2 0.215 0.215 0.412
Hg3 0.500 0.500 0.500
Hg4 0.785 0.785 0.588
Hg5 0.872 0.872 0.118
Pb1 0.031 0.031 0.327
Pb2 0.046 0.545 0.867
Pb3 0.109 0.614 0.381
Pb4 0.386 0.891 0.619
Pb5 0.424 0.424 0.746
Pb6 0.455 0.954 0.133
Pb7 0.545 0.046 0.867
Pb8 0.576 0.576 0.254
Pb9 0.614 0.109 0.381
Pb10 0.891 0.386 0.619
Pb11 0.954 0.455 0.133
Pb12 0.969 0.969 0.673



# 5
Density functional theory data (PBE-GGA) for a geometry-optimized LiTbPrPd structure.

Computed properties:
space-group type: No. 216
E: -0.164 hartree per atom
total magnetic moment: 0.000 μB per atom
volume: 24.07 A^3/atom

Cell lengths 7.276, 7.276, 7.276 Å; angles 90.00, 90.00, 90.00 degrees
Sites, in units of the cell vectors:
Li1 0.000 0.000 0.000
Li2 0.000 0.500 0.500
Li3 0.500 0.000 0.500
Li4 0.500 0.500 0.000
Tb1 0.250 0.250 0.250
Tb2 0.250 0.750 0.750
Tb3 0.750 0.250 0.750
Tb4 0.750 0.750 0.250
Pr1 0.250 0.250 0.750
Pr2 0.250 0.750 0.250
Pr3 0.750 0.250 0.250
Pr4 0.750 0.750 0.750
Pd1 0.000 0.000 0.500
Pd2 0.000 0.500 0.000
Pd3 0.500 0.000 0.000
Pd4 0.500 0.500 0.500



# 6
Density functional theory data (PBE-GGA) for a geometry-optimized KCd2Au3 structure.

Computed properties:
space-group type: No. 63
E: -0.088 hartree per atom
total magnetic moment: 0.000 μB per atom
volume: 26.12 A^3/atom

Cell lengths 7.358, 7.358, 5.927 Å; angles 90.00, 90.00, 77.63 degrees
Sites, in units of the cell vectors:
K1 0.185 0.815 0.750
K2 0.815 0.185 0.250
Cd1 0.299 0.299 0.000
Cd2 0.299 0.299 0.500
Cd3 0.701 0.701 0.000
Cd4 0.701 0.701 0.500
Au1 0.027 0.569 0.250
Au2 0.402 0.598 0.250
Au3 0.431 0.973 0.250
Au4 0.569 0.027 0.750
Au5 0.598 0.402 0.750
Au6 0.973 0.431 0.750



# 7
Density functional theory data (PBE-GGA) for a geometry-optimized CoTc2H2 structure.

Computed properties:
space-group type: No. 139
E: -0.247 hartree per atom
total magnetic moment: 0.277 μB per atom
volume: 9.14 A^3/atom

Cell lengths 2.904, 2.904, 10.838 Å; angles 90.00, 90.00, 90.00 degrees
Sites, in units of the cell vectors:
Co1 0.000 0.000 0.000
Co2 0.500 0.500 0.500
Tc1 0.000 0.000 0.357
Tc2 0.000 0.000 0.643
Tc3 0.500 0.500 0.143
Tc4 0.500 0.500 0.857
H1 0.000 0.500 0.250
H2 0.000 0.500 0.750
H3 0.500 0.000 0.250
H4 0.500 0.000 0.750



# 8
Density functional theory data (PBE-GGA) for a geometry-optimized SrScCr2 structure.

Computed properties:
space-group type: No. 160
E: -0.232 hartree per atom
total magnetic moment: 0.134 μB per atom
volume: 26.03 A^3/atom

Cell lengths 4.358, 4.358, 18.992 Å; angles 90.00, 90.00, 120.00 degrees
Sites, in units of the cell vectors:
Sr1 0.000 0.000 0.000
Sr2 0.333 0.667 0.667
Sr3 0.667 0.333 0.333
Sc1 0.000 0.000 0.189
Sc2 0.333 0.667 0.856
Sc3 0.667 0.333 0.523
Cr1 0.000 0.000 0.459
Cr2 0.000 0.000 0.786
Cr3 0.333 0.667 0.126
Cr4 0.333 0.667 0.453
Cr5 0.667 0.333 0.119
Cr6 0.667 0.333 0.792



# 9
Density functional theory data (PBE-GGA) for a geometry-optimized ZrCrIr2 structure.

Computed properties:
space-group type: No. 216
E: -0.332 hartree per atom
total magnetic moment: 0.675 μB per atom
volume: 15.96 A^3/atom

Cell lengths 6.344, 6.344, 6.344 Å; angles 90.00, 90.00, 90.00 degrees
Sites, in units of the cell vectors:
Zr1 0.000 0.000 0.000
Zr2 0.000 0.500 0.500
Zr3 0.500 0.000 0.500
Zr4 0.500 0.500 0.000
Cr1 0.250 0.250 0.250
Cr2 0.250 0.750 0.750
Cr3 0.750 0.250 0.750
Cr4 0.750 0.750 0.250
Ir1 0.000 0.000 0.500
Ir2 0.000 0.500 0.000
Ir3 0.250 0.250 0.750
Ir4 0.250 0.750 0.250
Ir5 0.500 0.000 0.000
Ir6 0.500 0.500 0.500
Ir7 0.750 0.250 0.250
Ir8 0.750 0.750 0.750



# 10
Density functional theory data (PBE-GGA) for a geometry-optimized Tb2Pm5Nd structure.

Computed properties:
space-group type: No. 55
E: -0.173 hartree per atom
total magnetic moment: 0.000 μB per atom
volume: 33.83 A^3/atom

Cell lengths 7.265, 14.530, 5.127 Å; angles 90.00, 90.00, 90.00 degrees
Sites, in units of the cell vectors:
Tb1 0.250 0.125 0.000
Tb2 0.250 0.625 0.000
Tb3 0.750 0.375 0.000
Tb4 0.750 0.875 0.000
Pm1 0.000 0.000 0.500
Pm2 0.001 0.250 0.500
Pm3 0.249 0.875 0.000
Pm4 0.251 0.375 0.000
Pm5 0.499 0.750 0.500
Pm6 0.500 0.500 0.500
Pm7 0.501 0.250 0.500
Pm8 0.749 0.625 0.000
Pm9 0.751 0.125 0.000
Pm10 0.999 0.750 0.500
Nd1 0.000 0.500 0.500
Nd2 0.500 0.000 0.500



# 11
Density functional theory data (PBE-GGA) for a geometry-optimized Pm2Th2GeIr4 structure.

Computed properties:
space-group type: No. 139
E: -0.275 hartree per atom
total magnetic moment: 0.000 μB per atom
volume: 22.78 A^3/atom

Cell lengths 6.657, 6.657, 6.657 Å; angles 121.10, 121.10, 88.11 degrees
Sites, in units of the cell vectors:
Pm1 0.250 0.750 0.500
Pm2 0.750 0.250 0.500
Th1 0.189 0.189 0.000
Th2 0.811 0.811 0.000
Ge1 0.500 0.500 0.000
Ir1 0.235 0.235 0.470
Ir2 0.235 0.765 0.000
Ir3 0.765 0.235 0.000
Ir4 0.765 0.765 0.530



# 12
Density functional theory data (PBE-GGA) for a geometry-optimized Ce3NiB2Rh9 structure.

Computed properties:
space-group type: No. 164
E: -0.273 hartree per atom
total magnetic moment: 0.005 μB per atom
volume: 16.36 A^3/atom

Cell lengths 5.838, 5.838, 8.314 Å; angles 90.00, 90.00, 120.00 degrees
Sites, in units of the cell vectors:
Ce1 0.000 0.000 0.000
Ce2 0.333 0.667 0.648
Ce3 0.667 0.333 0.352
Ni1 0.000 0.000 0.500
B1 0.333 0.667 0.151
B2 0.667 0.333 0.849
Rh1 0.000 0.500 0.000
Rh2 0.165 0.329 0.289
Rh3 0.165 0.835 0.289
Rh4 0.329 0.165 0.711
Rh5 0.500 0.000 0.000
Rh6 0.500 0.500 0.000
Rh7 0.671 0.835 0.289
Rh8 0.835 0.165 0.711
Rh9 0.835 0.671 0.711



# 13
Density functional theory data (PBE-GGA) for a geometry-optimized Be2BiPbC structure.

Computed properties:
space-group type: No. 123
E: -0.100 hartree per atom
total magnetic moment: 0.222 μB per atom
volume: 25.19 A^3/atom

Cell lengths 4.407, 4.407, 6.485 Å; angles 90.00, 90.00, 90.00 degrees
Sites, in units of the cell vectors:
Be1 0.000 0.500 0.000
Be2 0.500 0.000 0.000
Bi1 0.000 0.000 0.500
Pb1 0.000 0.000 0.000
C1 0.500 0.500 0.500



# 14
Density functional theory data (PBE-GGA) for a geometry-optimized Pm3GaNi2 structure.

Computed properties:
space-group type: No. 14
E: -0.190 hartree per atom
total magnetic moment: 0.000 μB per atom
volume: 23.34 A^3/atom

Cell lengths 5.634, 11.591, 9.144 Å; angles 90.00, 110.30, 90.00 degrees
Sites, in units of the cell vectors:
Pm1 0.156 0.233 0.314
Pm2 0.156 0.267 0.814
Pm3 0.240 0.596 0.998
Pm4 0.240 0.904 0.498
Pm5 0.303 0.554 0.609
Pm6 0.303 0.946 0.109
Pm7 0.697 0.054 0.891
Pm8 0.697 0.446 0.391
Pm9 0.760 0.096 0.502
Pm10 0.760 0.404 0.002
Pm11 0.844 0.733 0.186
Pm12 0.844 0.767 0.686
Ga1 0.431 0.691 0.344
Ga2 0.431 0.809 0.844
Ga3 0.569 0.191 0.156
Ga4 0.569 0.309 0.656
Ni1 0.161 0.503 0.280
Ni2 0.161 0.997 0.780
Ni3 0.316 0.131 0.612
Ni4 0.316 0.369 0.112
Ni5 0.684 0.631 0.888
Ni6 0.684 0.869 0.388
Ni7 0.839 0.003 0.220
Ni8 0.839 0.497 0.720



# 15
Density functional theory data (PBE-GGA) for a geometry-optimized RbSICl2 structure.

Computed properties:
raw formation energy: -0.49 eV/atom
space-group type: No. 123
total magnetic moment: 0.000 μB per atom
volume: 33.46 A^3/atom

Cell lengths 5.683, 5.683, 5.181 Å; angles 90.00, 90.00, 90.00 degrees
Sites, in units of the cell vectors:
Rb1 0.000 0.000 0.000
S1 0.500 0.500 0.000
I1 0.500 0.500 0.500
Cl1 0.000 0.500 0.500
Cl2 0.500 0.000 0.500



# 16
Density functional theory data (PBE-GGA) for a geometry-optimized Ca2CoBi structure.

Computed properties:
space-group type: No. 122
E: -0.139 hartree per atom
total magnetic moment: 0.000 μB per atom
volume: 32.87 A^3/atom

Cell lengths 10.352, 10.352, 4.908 Å; angles 90.00, 90.00, 90.00 degrees
Sites, in units of the cell vectors:
Ca1 0.082 0.250 0.125
Ca2 0.250 0.582 0.375
Ca3 0.250 0.918 0.875
Ca4 0.418 0.250 0.625
Ca5 0.582 0.750 0.625
Ca6 0.750 0.082 0.875
Ca7 0.750 0.418 0.375
Ca8 0.918 0.750 0.125
Co1 0.000 0.000 0.000
Co2 0.000 0.500 0.250
Co3 0.500 0.000 0.750
Co4 0.500 0.500 0.500
Bi1 0.000 0.000 0.500
Bi2 0.000 0.500 0.750
Bi3 0.500 0.000 0.250
Bi4 0.500 0.500 0.000



# 17
Density functional theory data (PBE-GGA) for a geometry-optimized Pr2GaOs structure.

Computed properties:
space-group type: No. 123
E: -0.224 hartree per atom
total magnetic moment: 0.000 μB per atom
volume: 24.31 A^3/atom

Cell lengths 3.613, 3.613, 7.450 Å; angles 90.00, 90.00, 90.00 degrees
Sites, in units of the cell vectors:
Pr1 0.000 0.000 0.232
Pr2 0.000 0.000 0.768
Ga1 0.500 0.500 0.500
Os1 0.500 0.500 0.000



# 18
Density functional theory data (PBE-GGA) for a geometry-optimized RbZrReN4 structure.

Computed properties:
raw formation energy: -0.54 eV/atom
space-group type: No. 11
total magnetic moment: 0.000 μB per atom
volume: 19.20 A^3/atom

Cell lengths 5.835, 6.103, 7.880 Å; angles 90.00, 106.74, 90.00 degrees
Sites, in units of the cell vectors:
Rb1 0.227 0.250 0.438
Rb2 0.773 0.750 0.562
Zr1 0.322 0.250 0.955
Zr2 0.678 0.750 0.045
Re1 0.208 0.750 0.133
Re2 0.792 0.250 0.867
N1 0.005 0.750 0.274
N2 0.006 0.250 0.077
N3 0.426 0.521 0.146
N4 0.426 0.979 0.146
N5 0.574 0.021 0.854
N6 0.574 0.479 0.854
N7 0.994 0.750 0.923
N8 0.995 0.250 0.726